Record 1
Here is crystalline Sr2Tl2In at its relaxed geometry from the Alexandria database. Energies are from PBE-GGA.

Geometry as extended XYZ:
```
5
Lattice="-0.950 6.310 1.365 -2.349 -1.623 5.868 2.562 2.598 5.373" Properties=species:S:1:pos:R:3 pbc="T T T"
Sr -0.019 5.626 5.178
Sr -0.719 1.659 7.429
Tl -0.319 2.424 4.171
Tl -0.418 4.861 8.435
In 0.000 0.000 0.000
```

Distance to the lowest polymorph of the same formula (meV/atom): 286.1
Calculated total energy (eV/f.u.): -11.4
Space-group type: I4/mmm, No. 139


Record 2
Here is crystalline Sr2TlIn2 at its relaxed geometry from the Alexandria database. Energies are from PBE-GGA.

Geometry as extended XYZ:
```
10
Lattice="-2.327 -2.477 -8.075 -3.183 -7.501 3.218 -4.000 1.937 0.559" Properties=species:S:1:pos:R:3 pbc="T T T"
Sr -4.563 -4.542 1.032
Sr -6.195 -6.885 -2.531
Sr -4.947 -3.499 -5.330
Sr -3.315 -1.156 -1.767
Tl 0.000 0.000 0.000
Tl -2.755 -4.989 -2.428
In -3.675 -7.524 -0.227
In -4.023 -6.840 -5.090
In -1.835 -2.454 -4.629
In -1.487 -3.138 0.233
```

Distance to the lowest polymorph of the same formula (meV/atom): 85.3
Calculated total energy (eV/f.u.): -12.8
Space-group type: P4/mbm, No. 127


Record 3
Here is crystalline Sr2TlIn at its relaxed geometry from the Alexandria database. Energies are from PBE-GGA.

Geometry as extended XYZ:
```
4
Lattice="6.891 -0.002 0.011 3.332 6.033 -0.011 -4.554 -3.960 3.327" Properties=species:S:1:pos:R:3 pbc="T T T"
In 2.229 2.712 1.658
Sr 0.199 0.118 0.000
Sr 3.514 -0.598 1.669
Tl 4.838 2.854 0.000
```

Calculated total energy (eV/f.u.): -9.8
Space-group type: Imm2, No. 44


Record 4
Here is crystalline Sr2TlIn at its relaxed geometry from the Alexandria database. Energies are from PBE-GGA.

Geometry as extended XYZ:
```
4
Lattice="4.045 0.000 0.000 0.000 4.044 0.000 0.000 0.000 9.203" Properties=species:S:1:pos:R:3 pbc="T T T"
In 2.023 2.022 6.568
Sr 0.000 0.000 8.690
Sr 2.023 2.022 2.816
Tl 0.000 0.000 4.933
```

Calculated total energy (eV/f.u.): -9.4
Space-group type: P4mm, No. 99


Record 5
Here is crystalline Sr6TlIn5 at its relaxed geometry from the Alexandria database. Energies are from PBE-GGA.

Geometry as extended XYZ:
```
12
Lattice="5.456 -0.032 1.818 0.043 8.163 0.014 -0.009 -0.016 9.120" Properties=species:S:1:pos:R:3 pbc="T T T"
Sr 4.576 6.086 4.567
Sr 4.554 2.013 4.560
Sr 2.739 2.026 0.913
Sr 2.760 6.105 0.920
Sr 0.936 6.102 6.393
Sr 0.915 2.029 6.386
Tl 0.000 0.000 0.000
In 3.654 4.049 7.296
In 1.811 -0.016 3.661
In 0.022 4.081 0.007
In 3.636 -0.032 7.278
In 1.836 4.065 3.656
```

Calculated total energy (eV/f.u.): -31.3
Space-group type: Cmmm, No. 65


Record 6
Here is crystalline SrTl8In6 at its relaxed geometry from the Alexandria database. Energies are from PBE-GGA.

Geometry as extended XYZ:
```
15
Lattice="-9.280 0.601 0.959 -4.098 -3.055 7.828 -3.807 5.052 5.561" Properties=species:S:1:pos:R:3 pbc="T T T"
Sr 0.000 0.000 0.000
Tl -7.468 1.380 4.067
Tl -10.338 3.476 5.401
Tl -5.396 2.140 7.156
Tl -8.910 -1.551 5.896
Tl -8.276 4.149 8.452
Tl -11.790 0.458 7.192
Tl -6.847 -0.878 8.946
Tl -9.718 1.219 10.281
In -7.229 4.236 5.368
In -10.679 0.590 4.192
In -5.769 -0.688 5.824
In -11.417 3.286 8.524
In -6.507 2.009 10.155
In -9.957 -1.637 8.980
```

Calculated total energy (eV/f.u.): -36.8
Space-group type: R-3, No. 148


Record 7
Here is crystalline SrTlIn at its relaxed geometry from the Alexandria database. Energies are from PBE-GGA.

Geometry as extended XYZ:
```
6
Lattice="-4.485 0.756 -2.421 -4.034 -2.064 6.829 2.261 3.889 2.511" Properties=species:S:1:pos:R:3 pbc="T T T"
Sr -2.103 -0.817 3.559
Sr -0.080 0.218 0.139
Tl -5.555 0.362 4.843
Tl -2.886 1.622 5.774
In -3.166 1.583 0.801
In -1.239 2.463 2.987
```

Calculated total energy (eV/f.u.): -8.0
Space-group type: P-3m1, No. 164


Record 8
Here is crystalline Sr6Tl3In at its relaxed geometry from the Alexandria database. Energies are from PBE-GGA.

Geometry as extended XYZ:
```
20
Lattice="-4.882 1.340 -2.915 -4.829 -7.866 4.472 -1.452 10.743 7.368" Properties=species:S:1:pos:R:3 pbc="T T T"
Sr -3.687 -2.450 2.122
Sr -7.476 6.667 6.802
Sr -2.072 1.095 1.047
Sr -9.091 3.122 7.878
Sr -5.318 2.483 7.120
Sr -5.845 1.734 1.804
Sr -3.115 3.807 4.038
Sr -8.049 0.410 4.887
Sr -5.790 -2.808 5.479
Sr -5.373 7.025 3.445
Sr -3.077 8.808 6.273
Sr -8.086 -4.591 2.652
Tl -4.376 0.186 4.487
Tl -6.787 4.031 4.438
Tl -4.211 5.673 6.733
Tl -6.952 -1.457 2.192
Tl -6.341 4.691 9.848
Tl -4.822 -0.474 -0.923
In -6.677 -0.490 8.030
In -4.486 4.707 0.895
```

Calculated total energy (eV/f.u.): -23.3
Space-group type: P2_1/m, No. 11


Number 1: magnetization 0.000 μB/f.u.. Number 2: magnetization 0.000 μB/f.u.. Number 3: magnetization 0.000 μB/f.u.. Number 4: magnetization 0.000 μB/f.u.. Number 5: magnetization 0.000 μB/f.u.. Number 6: magnetization 0.000 μB/f.u.. Number 7: magnetization 0.000 μB/f.u.. Number 8: magnetization 0.000 μB/f.u..